Record 1
SmDy2UP4: optimized geometry, GGA-PBE.

a b c (Å): 3.9983 6.9492 6.9343
angles (deg): 109.23 90.00 90.00
Element x y z (fractional)
U 0.0000 0.0000 0.0000
Sm 0.5000 0.5000 0.0000
P 0.5000 0.2427 0.2471
Dy 0.5000 0.0000 0.5000
P 0.0000 0.7591 0.2496
P 0.5000 0.7573 0.7529
P 0.0000 0.2409 0.7504
Dy 0.0000 0.5000 0.5000

Results
Energy of formation = -1.437 eV per atom

=====

Record 2
SmDy2YP4: optimized geometry, GGA-PBE.

a b c (Å): 4.0358 6.9862 6.9868
angles (deg): 109.46 90.00 90.00
Element x y z (fractional)
P 0.0000 0.7538 0.2543
Dy 0.0000 0.5000 0.5000
Y 0.0000 0.0000 0.0000
P 0.5000 0.2484 0.2525
Dy 0.5000 0.0000 0.5000
P 0.0000 0.2462 0.7457
P 0.5000 0.7516 0.7475
Sm 0.5000 0.5000 0.0000

Results
Energy of formation = -1.605 eV per atom

=====

Record 3
SmDy2ZrP4: optimized geometry, GGA-PBE.

a b c (Å): 3.9532 6.8570 6.8454
angles (deg): 109.26 90.00 90.00
Element x y z (fractional)
Dy 0.5000 0.0000 0.5000
P 0.5000 0.7629 0.7588
P 0.5000 0.2371 0.2412
Sm 0.5000 0.5000 0.0000
P 0.0000 0.7604 0.2482
P 0.0000 0.2396 0.7518
Zr 0.0000 0.0000 0.0000
Dy 0.0000 0.5000 0.5000

Results
Energy of formation = -1.528 eV per atom

=====

Record 4
Dy2SnP: optimized geometry, GGA-PBE.

a b c (Å): 3.9345 3.9345 8.0459
angles (deg): 75.85 75.85 60.00
Element x y z (fractional)
P 0.0000 0.0000 0.0000
Sn 0.5000 0.5000 0.5000
Dy 0.2646 0.2646 0.2063
Dy 0.7354 0.7354 0.7937

Results
Energy of formation = -1.125 eV per atom

=====

Record 5
Dy4SnTe2P: optimized geometry, GGA-PBE.

a b c (Å): 4.2555 7.4104 7.4978
angles (deg): 109.02 90.00 90.00
Element x y z (fractional)
Dy 0.0000 0.2450 0.7710
Dy 0.5000 0.2282 0.2188
P 0.0000 0.0000 0.0000
Te 0.0000 0.5000 0.5000
Te 0.5000 0.0000 0.5000
Dy 0.5000 0.7718 0.7812
Dy 0.0000 0.7550 0.2290
Sn 0.5000 0.5000 0.0000

Results
Formation energy (no corrections) = -1.27 eV per atom

=====

Record 6
Dy6SnTe3P2: optimized geometry, GGA-PBE.

a b c (Å): 4.1959 8.6282 9.5642
angles (deg): 104.25 102.67 90.00
Element x y z (fractional)
Dy 0.3328 0.8850 0.6656
P 0.8309 0.6615 0.6619
P 0.1691 0.3385 0.3381
Dy 0.0123 0.2510 0.0247
Sn 0.5000 0.0000 0.0000
Dy 0.9877 0.7490 0.9753
Te 0.1637 0.8324 0.3274
Te 0.5000 0.5000 0.0000
Dy 0.6766 0.5640 0.3532
Dy 0.3234 0.4360 0.6468
Dy 0.6672 0.1150 0.3344
Te 0.8363 0.1676 0.6726

Results
Formation energy (no corrections) = -1.37 eV per atom

=====

Repeat the fourth record exactly.
Dy2SnP: optimized geometry, GGA-PBE.

a b c (Å): 3.9345 3.9345 8.0459
angles (deg): 75.85 75.85 60.00
Element x y z (fractional)
P 0.0000 0.0000 0.0000
Sn 0.5000 0.5000 0.5000
Dy 0.2646 0.2646 0.2063
Dy 0.7354 0.7354 0.7937

Results
Energy of formation = -1.125 eV per atom

=====

What is the formula in the sixth record?
Dy6SnTe3P2